Version w
Entry from Alexandria: an optimized crystal structure of CaY3Ir (GGA-PBE).

a b c (Å): 8.7606 3.8452 9.0960
angles (deg): 90.00 76.25 90.00
Last column: nearest neighbours and their distance in Å.
Fractional positions:
Y  0.8551  0.8180  0.2645  2 Ir 2.87
Y  0.2656  0.8179  0.1793  2 Ir 2.86
Y  0.0039  0.8179  0.8686  3 Ir 2.91-2.93
Y  0.6664  0.8178  0.6649  8 Y 3.50-3.85, 1 Ir 3.51, 4 Ca 3.73-3.84
Y  0.4762  0.3178  0.4341  2 Ir 2.82
Y  0.3348  0.3179  0.8263  3 Ir 2.84-2.93
Ca  0.6482  0.3180  0.0198  10 Y 3.60-3.84, 1 Ir 3.84, 2 Ca 3.85
Ca  0.0527  0.3179  0.5181  2 Ir 3.05
Ir  0.0646  0.3179  0.0876  7 Y 2.86-2.93
Ir  0.2815  0.8179  0.6148  5 Y 2.82-2.93, 2 Ca 3.05

- symmetry = Pm
- magnetization (μB per formula unit) = 0.5
- calculated volume (Å³/atom) = 29.762

***

Version x
Entry from Alexandria: an optimized crystal structure of CaY3Ir (GGA-PBE).

a b c (Å): 11.6990 3.9155 8.8103
angles (deg): 90.00 127.03 70.45
Last column: nearest neighbours and their distance in Å.
Fractional positions:
Y  0.7908  0.5840  0.5660  10 Y 3.51-3.92, 2 Ca 3.65
Y  0.7819  0.0926  0.8925  1 Ir 3.23, 6 Y 3.44-3.53
Y  0.9405  0.4337  0.3142  2 Ir 2.78
Y  0.5802  0.2943  0.1166  2 Ir 2.83
Y  0.1531  0.7213  0.7675  2 Ir 2.82
Y  0.1068  0.2676  0.0772  3 Ir 2.85-3.02
Ca  0.4364  0.4382  0.3624  3 Ir 3.07-3.24, 3 Y 3.40-3.42
Ca  0.3705  0.0040  0.6592  3 Ir 3.10-3.45
Ir  0.3632  0.0113  0.0451  5 Y 2.82-3.02, 2 Ca 3.07
Ir  0.1252  0.7491  0.3261  4 Y 2.78-2.85, 2 Ca 3.10

- symmetry = Pm
- magnetization (μB per formula unit) = 0.0
- calculated volume (Å³/atom) = 29.250

***

It comes down to version w, which is 19 meV/atom more stable than the next structure.

***

Version w
Entry from Alexandria: an optimized crystal structure of Zr2HgIr2 (GGA-PBE).

a b c (Å): 7.9732 7.9732 3.1255
angles (deg): 90.00 90.00 90.00
Last column: nearest neighbours and their distance in Å.
Fractional positions:
Hg  0.0000  0.0000  0.0000  4 Zr 3.03, 2 Hg 3.13
Hg  0.5000  0.5000  0.0000  4 Zr 3.03, 2 Hg 3.13
Zr  0.1525  0.3475  0.0000  6 Ir 2.78-2.85, 2 Hg 3.03
Zr  0.8475  0.6525  0.0000  6 Ir 2.78-2.85, 2 Hg 3.03
Zr  0.3475  0.8475  0.0000  6 Ir 2.78-2.85, 2 Hg 3.03
Zr  0.6525  0.1525  0.0000  6 Ir 2.78-2.85, 2 Hg 3.03
Ir  0.3642  0.1358  0.5000  6 Zr 2.78-2.85, 1 Ir 3.06
Ir  0.1358  0.6358  0.5000  6 Zr 2.78-2.85, 1 Ir 3.06
Ir  0.8642  0.3642  0.5000  6 Zr 2.78-2.85, 1 Ir 3.06
Ir  0.6358  0.8642  0.5000  6 Zr 2.78-2.85, 1 Ir 3.06

- symmetry = P4/mbm
- magnetization (μB per formula unit) = 0.0
- calculated volume (Å³/atom) = 19.869

***

Version x
Entry from Alexandria: an optimized crystal structure of Zr2HgIr2 (GGA-PBE).

a b c (Å): 7.8108 7.8108 3.1591
angles (deg): 90.00 90.00 90.00
Last column: nearest neighbours and their distance in Å.
Fractional positions:
Zr  0.1613  0.6613  0.5000  6 Ir 2.76-2.80
Zr  0.6613  0.8387  0.5000  6 Ir 2.76-2.80
Zr  0.3387  0.1613  0.5000  6 Ir 2.76-2.80
Zr  0.8387  0.3387  0.5000  6 Ir 2.76-2.80
Ir  0.3665  0.8665  0.0000  6 Zr 2.76-2.80, 1 Ir 2.95, 2 Hg 3.05
Ir  0.6335  0.1335  0.0000  6 Zr 2.76-2.80, 1 Ir 2.95, 2 Hg 3.05
Ir  0.8665  0.6335  0.0000  6 Zr 2.76-2.80, 1 Ir 2.95, 2 Hg 3.05
Ir  0.1335  0.3665  0.0000  6 Zr 2.76-2.80, 1 Ir 2.95, 2 Hg 3.05
Hg  0.5000  0.5000  0.0000  4 Ir 3.05, 2 Hg 3.16, 8 Zr 3.33
Hg  0.0000  0.0000  0.0000  4 Ir 3.05, 2 Hg 3.16, 8 Zr 3.33

- symmetry = P4/mbm
- magnetization (μB per formula unit) = 0.0
- calculated volume (Å³/atom) = 19.273

***

It comes down to version x, which is 176 meV/atom more stable than the next structure.

***

Version w
Entry from Alexandria: an optimized crystal structure of Cs2RbNa (GGA-PBE).

a b c (Å): 7.8129 7.8129 7.8129
angles (deg): 60.00 60.00 60.00
Last column: nearest neighbours and their distance in Å.
Fractional positions:
Na  0.0000  0.0000  0.0000  8 Cs 4.78
Cs  0.2500  0.2500  0.2500  4 Na 4.78, 4 Rb 4.78
Cs  0.7500  0.7500  0.7500  4 Rb 4.78, 4 Na 4.78
Rb  0.5000  0.5000  0.5000  8 Cs 4.78

- symmetry = Fm-3m
- magnetization (μB per formula unit) = 0.0
- calculated volume (Å³/atom) = 84.308

***

Version x
Entry from Alexandria: an optimized crystal structure of Cs2RbNa (GGA-PBE).

a b c (Å): 4.9756 4.9756 17.3337
angles (deg): 81.75 81.75 60.00
Last column: nearest neighbours and their distance in Å.
Fractional positions:
Cs  0.9190  0.9190  0.2431  1 Na 4.15
Cs  0.0810  0.0810  0.7569  1 Na 4.15
Rb  0.5000  0.5000  0.5000  6 Rb 4.98, 6 Cs 5.25
Na  0.0000  0.0000  0.0000  2 Cs 4.15

- symmetry = R-3m
- magnetization (μB per formula unit) = 0.0
- calculated volume (Å³/atom) = 91.622

***

It comes down to version w, which is 97 meV/atom more stable than the next structure.